# TePPtO2 PBE-GGA relaxed
# Crystal system: tetragonal
# Raw formation energy, meV/atom: 66
data_TePPtO2
_chemical_formula_sum 'Te1 P1 Pt1 O2'
_symmetry_space_group_name_H-M 'P 4/m m m'
_symmetry_Int_Tables_number 123
_symmetry_space_group_name_Hall '-P 4 2'
_cell_length_a 3.809
_cell_length_b 3.809
_cell_length_c 5.625
_cell_angle_alpha 90.00
_cell_angle_beta 90.00
_cell_angle_gamma 90.00
loop_
_atom_site_label
_atom_site_fract_x
_atom_site_fract_y
_atom_site_fract_z
Te1 0.000 0.000 0.000
P1 0.000 0.000 0.500
Pt1 0.500 0.500 0.500
O1 0.000 0.500 0.000